Record 1
Ca3AgB | PBE | relaxed

Structure (POSCAR):
```
Ca3AgB
1.0
5.259 0.000 0.000
0.000 5.259 0.000
0.000 0.000 5.259
Ca Ag B
3 1 1
Direct
0.000 0.000 0.500
0.000 0.500 0.000
0.500 0.000 0.000
0.500 0.500 0.500
0.000 0.000 0.000
```

Values from the calculation:
E above lowest polymorph	0.0	meV/atom
crystal system	cubic
ΔH_f (0 K)	0.1646	eV/atom

Record 2
Ba2ScCl | PBE | relaxed

Structure (POSCAR):
```
Ba2ScCl
1.0
3.963 0.000 0.000
0.000 5.675 0.000
0.000 0.000 6.860
Ba Sc Cl
2 1 1
Direct
0.000 0.000 0.872
0.500 0.500 0.376
0.500 0.500 0.876
0.000 0.000 0.376
```

Values from the calculation:
E above lowest polymorph	185.1	meV/atom
crystal system	orthorhombic
ΔE_f (raw)	-0.4296	eV/atom

Record 3
ZnSiIr2 | PBE | relaxed

Structure (POSCAR):
```
ZnSiIr2
1.0
-1.203 -0.987 4.753
3.787 -2.901 -1.500
2.243 0.751 1.560
Ir Si Zn
2 1 1
Direct
0.000 0.000 0.000
0.500 0.500 0.000
0.500 0.000 0.500
0.000 0.500 0.500
```

Values from the calculation:
crystal system	monoclinic
ΔE_f (raw)	-0.1028	eV/atom

Record 4
HoCuAg2 | PBE | relaxed

Structure (POSCAR):
```
HoCuAg2
1.0
-0.393 -1.462 3.091
2.882 -1.816 -0.492
3.488 4.799 2.714
Ag Ho Cu
2 1 1
Direct
0.000 0.000 0.788
0.000 0.000 0.212
0.500 0.500 0.500
0.500 0.500 0.000
```

Values from the calculation:
E above lowest polymorph	147.5	meV/atom
crystal system	tetragonal
ΔH_f (0 K)	-0.0937	eV/atom